[1]
The following is a DFT calculation (GGA-PBE) of a geometry-optimized BRhF3 structure.

Values from the calculation:
Energy above the most stable polymorph in this dataset in kJ/mol of atoms: 0.00
ΔE_f (raw) in meV/atom: -200
DOS(E_F) in states/eV/atom: 1.17
Magnetic moment in μB/cell: 1.9

Unit cell a=3.7856 b=3.7856 c=3.7856 alpha=90.00 beta=90.00 gamma=90.00
Closest atoms and distances in Å follow each position.
Space group Pm-3m (No. 221)
Inequivalent atoms, fractional coordinates:
1 B 0.0000 0.0000 0.0000 x1  6 F 1.89
2 Rh 0.5000 0.5000 0.5000 x1  12 F 2.68
3 F 0.0000 0.0000 0.5000 x3  2 B 1.89

---

[2]
The following is a DFT calculation (GGA-PBE) of a geometry-optimized B2RhF8 structure.

Values from the calculation:
ΔE_f (raw) in meV/atom: -2295
Magnetic moment in μB/cell: 4.0

Unit cell a=12.2485 b=6.9199 c=9.5288 alpha=90.00 beta=128.37 gamma=90.00
Closest atoms and distances in Å follow each position.
Space group C2/c (No. 15)
Inequivalent atoms, fractional coordinates:
1 B 0.0914 0.2465 0.0401 x8  4 F 1.35-1.50
2 Rh 0.0000 0.0146 0.2500 x4  4 F 2.07-2.08
3 F 0.0424 0.2030 0.6408 x8  1 B 1.50
4 F 0.0567 0.2390 0.1620 x8  1 B 1.47
5 F 0.1372 0.4258 0.0444 x8  1 B 1.35
6 F 0.1796 0.0947 0.0747 x8  1 B 1.39

---

[3]
The following is a DFT calculation (GGA-PBE) of a geometry-optimized BRhF3 structure.

Values from the calculation:
Energy above the most stable polymorph in this dataset in kJ/mol of atoms: 8.45
ΔE_f (raw) in meV/atom: -113
DOS(E_F) in states/eV/atom: 0.52
Magnetic moment in μB/cell: 0.6

Unit cell a=4.1605 b=4.1605 c=4.1605 alpha=90.00 beta=90.00 gamma=90.00
Closest atoms and distances in Å follow each position.
Space group Pm-3m (No. 221)
Inequivalent atoms, fractional coordinates:
1 B 0.0000 0.0000 0.0000 x1  12 F 2.94
2 Rh 0.5000 0.5000 0.5000 x1  6 F 2.08
3 F 0.0000 0.5000 0.5000 x3  2 Rh 2.08

---

[4]
The following is a DFT calculation (GGA-PBE) of a geometry-optimized B3RuF structure.

Values from the calculation:
Energy above the most stable polymorph in this dataset in kJ/mol of atoms: 76.44
ΔE_f (raw) in meV/atom: 1550
DOS(E_F) in states/eV/atom: 0.42
Magnetic moment in μB/cell: 0.0

Unit cell a=3.5732 b=3.5732 c=3.5732 alpha=90.00 beta=90.00 gamma=90.00
Closest atoms and distances in Å follow each position.
Space group Pm-3m (No. 221)
Inequivalent atoms, fractional coordinates:
1 B 0.0000 0.0000 0.5000 x3  2 F 1.79
2 Ru 0.5000 0.5000 0.5000 x1  12 B 2.53
3 F 0.0000 0.0000 0.0000 x1  6 B 1.79

---

[5]
The following is a DFT calculation (GGA-PBE) of a geometry-optimized BRu3F structure.

Values from the calculation:
Energy above the most stable polymorph in this dataset in kJ/mol of atoms: 0.00
ΔE_f (raw) in meV/atom: 597
DOS(E_F) in states/eV/atom: 1.13
Magnetic moment in μB/cell: 3.7

Unit cell a=4.1022 b=4.1022 c=4.1022 alpha=90.00 beta=90.00 gamma=90.00
Closest atoms and distances in Å follow each position.
Space group Pm-3m (No. 221)
Inequivalent atoms, fractional coordinates:
1 B 0.0000 0.0000 0.0000 x1  6 Ru 2.05
2 Ru 0.0000 0.0000 0.5000 x3  2 B 2.05
3 F 0.5000 0.5000 0.5000 x1  12 Ru 2.90

---

[6]
The following is a DFT calculation (GGA-PBE) of a geometry-optimized BRu2F structure.

Values from the calculation:
Energy above the most stable polymorph in this dataset in kJ/mol of atoms: 0.00
ΔE_f (raw) in meV/atom: 287
DOS(E_F) in states/eV/atom: 1.24
Magnetic moment in μB/cell: 4.8

Unit cell a=5.5578 b=5.5578 c=5.5578 alpha=90.00 beta=90.00 gamma=90.00
Closest atoms and distances in Å follow each position.
Space group Fm-3m (No. 225)
Inequivalent atoms, fractional coordinates:
1 B 0.0000 0.0000 0.0000 x4  8 Ru 2.41
2 Ru 0.2500 0.2500 0.2500 x8  4 F 2.41, 4 B 2.41
3 F 0.0000 0.0000 0.5000 x4  8 Ru 2.41

---

[7]
The following is a DFT calculation (GGA-PBE) of a geometry-optimized BRu2F structure.

Values from the calculation:
Energy above the most stable polymorph in this dataset in kJ/mol of atoms: 7.57
ΔE_f (raw) in meV/atom: 366
DOS(E_F) in states/eV/atom: 1.07
Magnetic moment in μB/cell: 4.1

Unit cell a=5.0167 b=5.0167 c=8.8308 alpha=90.00 beta=90.00 gamma=90.00
Closest atoms and distances in Å follow each position.
Space group I-42d (No. 122)
Inequivalent atoms, fractional coordinates:
1 B 0.0000 0.0000 0.0000 x4  4 Ru 1.97
2 Ru 0.2090 0.2500 0.1250 x8  2 B 1.97
3 F 0.0000 0.0000 0.5000 x4  4 Ru 2.22

---

[8]
The following is a DFT calculation (GGA-PBE) of a geometry-optimized B3RuF structure.

Values from the calculation:
Energy above the most stable polymorph in this dataset in kJ/mol of atoms: 0.00
ΔE_f (raw) in meV/atom: 758
DOS(E_F) in states/eV/atom: 0.33
Magnetic moment in μB/cell: 0.0

Unit cell a=4.0389 b=4.0389 c=4.0389 alpha=90.00 beta=90.00 gamma=90.00
Closest atoms and distances in Å follow each position.
Space group Pm-3m (No. 221)
Inequivalent atoms, fractional coordinates:
1 B 0.0000 0.0000 0.5000 x3  2 Ru 2.02
2 Ru 0.0000 0.0000 0.0000 x1  6 B 2.02
3 F 0.5000 0.5000 0.5000 x1  12 B 2.86